a.
PuPaTl | PBE | optimized geometry

abc: 3.2694 5.1539 5.1539
angles: 120.00 90.00 90.00
Site moments in Bohr magnetons follow the coordinates.
Fractional positions:
Pu 0.1658 0.0000 0.0000  5.61
Tl 0.6668 0.6667 0.3333  -0.02
Pa 0.1674 0.3333 0.6667  1.03

## Properties
For the calculated density, the calculation gives 15.0 g cm⁻³. The space-group type is No. 187. Its size of the total moment is 6.96 μB/cell.

b.
PuPaTl | PBE | optimized geometry

abc: 7.0058 7.0058 7.0058
angles: 90.00 90.00 90.00
Site moments in Bohr magnetons follow the coordinates.
Fractional positions:
Pa 0.4541 0.4541 0.4541  1.16
Pu 0.5667 0.0667 0.4333  5.35
Tl 0.3103 0.8103 0.6897  -0.02
Pu 0.4333 0.5667 0.0667  5.35
Pa 0.9541 0.0459 0.5459  1.16
Pu 0.9333 0.9333 0.9333  5.35
Pu 0.0667 0.4333 0.5667  5.35
Tl 0.6897 0.3103 0.8103  -0.02
Tl 0.1897 0.1897 0.1897  -0.02
Pa 0.0459 0.5459 0.9541  1.16
Pa 0.5459 0.9541 0.0459  1.16
Tl 0.8103 0.6897 0.3103  -0.02

## Properties
For the calculated density, the calculation gives 13.1 g cm⁻³. The space-group type is No. 198. Its size of the total moment is 26.73 μB/cell.

On energetic grounds, a is preferred over the next structure by 0.360 eV/atom.

a.
TmPu2Pa | PBE | optimized geometry

abc: 4.5326 4.7798 4.7798
angles: 90.00 90.00 90.00
Site moments in Bohr magnetons follow the coordinates.
Fractional positions:
Pu 0.0000 0.5000 0.0000  5.19
Pa 0.5000 0.5000 0.5000  0.38
Tm 0.5000 0.0000 0.0000  0.13
Pu 0.0000 0.0000 0.5000  5.19

## Properties
For the calculated density, the calculation gives 14.2 g cm⁻³. The space-group type is No. 123. Its size of the total moment is 11.41 μB/cell.

b.
TmPu2Pa | PBE | optimized geometry

abc: 3.3388 3.3388 9.2465
angles: 90.00 90.00 90.00
Site moments in Bohr magnetons follow the coordinates.
Fractional positions:
Pu 0.0000 0.0000 0.2262  5.11
Pu 0.0000 0.0000 0.7738  5.11
Pa 0.5000 0.5000 0.0000  0.06
Tm 0.5000 0.5000 0.5000  0.15

## Properties
For the calculated density, the calculation gives 14.3 g cm⁻³. The space-group type is No. 123. Its size of the total moment is 10.85 μB/cell.

On energetic grounds, b is preferred over the next structure by 0.115 eV/atom.

a.
TmPu2Pa | PBE | optimized geometry

abc: 3.3539 3.3539 10.9369
angles: 81.18 81.18 60.00
Site moments in Bohr magnetons follow the coordinates.
Fractional positions:
Pa 0.0000 0.0000 0.0000  0.06
Pu 0.2552 0.2552 0.2345  5.25
Tm 0.5000 0.5000 0.5000  0.14
Pu 0.7448 0.7448 0.7655  5.25

## Properties
For the calculated density, the calculation gives 14.1 g cm⁻³. The space-group type is No. 166. Its size of the total moment is 11.22 μB/cell.

b.
TmPu2Pa | PBE | optimized geometry

abc: 5.3173 5.3173 5.3173
angles: 60.00 60.00 60.00
Site moments in Bohr magnetons follow the coordinates.
Fractional positions:
Pu 0.7500 0.7500 0.7500  5.51
Pa 0.0000 0.0000 0.0000  1.44
Tm 0.5000 0.5000 0.5000  0.41
Pu 0.2500 0.2500 0.2500  5.51

## Properties
For the calculated density, the calculation gives 13.9 g cm⁻³. The space-group type is No. 225. Its size of the total moment is 13.97 μB/cell.

On energetic grounds, a is preferred over the next structure by 0.124 eV/atom.

a.
Tm2PuPa | PBE | optimized geometry

abc: 3.3456 3.3456 11.5147
angles: 81.64 81.64 59.98
Site moments in Bohr magnetons follow the coordinates.
Fractional positions:
Tm 0.2488 0.2488 0.2540  0.03
Pa 0.4998 0.4998 0.4993  0.02
Tm 0.0851 0.0851 0.7460  0.01
Pu 0.6664 0.6664 0.0007  5.52

## Properties
For the calculated density, the calculation gives 12.3 g cm⁻³. The space-group type is No. 160. Its size of the total moment is 5.93 μB/cell.

b.
Tm2PuPa | PBE | optimized geometry

abc: 3.2522 3.2522 12.1360
angles: 82.30 82.30 60.00
Site moments in Bohr magnetons follow the coordinates.
Fractional positions:
Tm 0.9114 0.9114 0.2657  -0.01
Pu 0.5000 0.5000 0.5000  5.36
Pa 0.0000 0.0000 0.0000  0.12
Tm 0.0886 0.0886 0.7343  -0.01

## Properties
For the calculated density, the calculation gives 12.3 g cm⁻³. The space-group type is No. 166. Its size of the total moment is 5.74 μB/cell.

On energetic grounds, a is preferred over the next structure by 0.154 eV/atom.